No. 1
# LiMoP2

A geometry-optimized LiMoP2 structure (GGA-PBEsol, the Alexandria database).

CIF file:
```
data_LiMoP2
_chemical_formula_sum 'Li2 Mo2 P4'
_cell_length_a 4.0040
_cell_length_b 3.1423
_cell_length_c 8.6309
_cell_angle_alpha 90.00
_cell_angle_beta 90.00
_cell_angle_gamma 90.00
_space_group_name_H-M_alt 'A m m 2'
_space_group_IT_number 38
loop_
_space_group_symop_operation_xyz
'x,y,z'
'-x,-y,z'
'-x,y,z'
'x,-y,z'
'x,y+1/2,z+1/2'
'-x,-y+1/2,z+1/2'
'-x,y+1/2,z+1/2'
'x,-y+1/2,z+1/2'
loop_
_atom_site_label
_atom_site_type_symbol
_atom_site_fract_x
_atom_site_fract_y
_atom_site_fract_z
_atom_site_occupancy
Li1 Li 0.0000 0.0000 0.0000 1
Mo1 Mo 0.5000 0.0000 0.2631 1
P1 P 0.0000 0.0000 0.7253 1
P2 P 0.5000 0.0000 0.5493 1
```

## Properties
VASP energy = -53.25 eV/cell
ρ = 5.04 g/cm3
ΔH_f (0 K) = -0.3263 eV/atom
V = 13.57 Å³/atom
M_tot = 0.00 μB per atom

***

No. 2
# LiMo4P

A geometry-optimized LiMo4P structure (GGA-PBEsol, the Alexandria database).

CIF file:
```
data_LiMo4P
_chemical_formula_sum 'Li4 Mo16 P4'
_cell_length_a 7.2502
_cell_length_b 7.2502
_cell_length_c 7.2502
_cell_angle_alpha 90.00
_cell_angle_beta 90.00
_cell_angle_gamma 90.00
_space_group_name_H-M_alt 'F -4 3 m'
_space_group_IT_number 216
_space_group_name_Hall 'F -4 2 3'
loop_
_atom_site_label
_atom_site_type_symbol
_atom_site_fract_x
_atom_site_fract_y
_atom_site_fract_z
_atom_site_occupancy
Li1 Li 0.0000 0.0000 0.0000 1
Mo1 Mo 0.1263 0.1263 0.3737 1
P1 P 0.2500 0.2500 0.7500 1
```

## Properties
VASP energy = -202.89 eV/cell
ρ = 7.35 g/cm3
ΔH_f (0 K) = 0.6847 eV/atom
V = 15.88 Å³/atom
M_tot = 0.00 μB per atom

***

No. 3
# LiMoP2

A geometry-optimized LiMoP2 structure (GGA-PBEsol, the Alexandria database).

CIF file:
```
data_LiMoP2
_chemical_formula_sum 'Li4 Mo4 P8'
_cell_length_a 5.9039
_cell_length_b 5.9039
_cell_length_c 5.9039
_cell_angle_alpha 90.00
_cell_angle_beta 90.00
_cell_angle_gamma 90.00
_space_group_name_H-M_alt 'F -4 3 m'
_space_group_IT_number 216
_space_group_name_Hall 'F -4 2 3'
loop_
_atom_site_label
_atom_site_type_symbol
_atom_site_fract_x
_atom_site_fract_y
_atom_site_fract_z
_atom_site_occupancy
Li1 Li 0.0000 0.0000 0.0000 1
Mo1 Mo 0.2500 0.2500 0.2500 1
P1 P 0.0000 0.0000 0.5000 1
P2 P 0.2500 0.2500 0.7500 1
```

## Properties
VASP energy = -97.10 eV/cell
ρ = 5.32 g/cm3
ΔH_f (0 K) = 0.2609 eV/atom
V = 12.86 Å³/atom
M_tot = 0.00 μB per atom

***

No. 4
# LiMoPb

A geometry-optimized LiMoPb structure (GGA-PBEsol, the Alexandria database).

CIF file:
```
data_LiMoPb
_chemical_formula_sum 'Li4 Mo4 Pb4'
_cell_length_a 6.4641
_cell_length_b 6.4641
_cell_length_c 6.4641
_cell_angle_alpha 90.00
_cell_angle_beta 90.00
_cell_angle_gamma 90.00
_space_group_name_H-M_alt 'F -4 3 m'
_space_group_IT_number 216
_space_group_name_Hall 'F -4 2 3'
loop_
_atom_site_label
_atom_site_type_symbol
_atom_site_fract_x
_atom_site_fract_y
_atom_site_fract_z
_atom_site_occupancy
Li1 Li 0.0000 0.0000 0.0000 1
Mo1 Mo 0.2500 0.2500 0.2500 1
Pb1 Pb 0.0000 0.0000 0.5000 1
```

## Properties
VASP energy = -59.03 eV/cell
ρ = 7.63 g/cm3
ΔH_f (0 K) = 0.9919 eV/atom
V = 22.51 Å³/atom
M_tot = 0.82 μB per atom

***

No. 5
# LiMoPb2

A geometry-optimized LiMoPb2 structure (GGA-PBEsol, the Alexandria database).

CIF file:
```
data_LiMoPb2
_chemical_formula_sum 'Li2 Mo2 Pb4'
_cell_length_a 4.0506
_cell_length_b 4.0506
_cell_length_c 9.6608
_cell_angle_alpha 90.00
_cell_angle_beta 90.00
_cell_angle_gamma 90.00
_space_group_name_H-M_alt 'I -4 m 2'
_space_group_IT_number 119
_space_group_name_Hall 'I -4 -2'
loop_
_atom_site_label
_atom_site_type_symbol
_atom_site_fract_x
_atom_site_fract_y
_atom_site_fract_z
_atom_site_occupancy
Li1 Li 0.0000 0.0000 0.0000 1
Mo1 Mo 0.0000 0.5000 0.2500 1
Pb1 Pb 0.0000 0.0000 0.5000 1
Pb2 Pb 0.0000 0.5000 0.7500 1
```

## Properties
VASP energy = -40.33 eV/cell
ρ = 10.84 g/cm3
ΔH_f (0 K) = 0.3918 eV/atom
V = 19.81 Å³/atom
M_tot = 0.23 μB per atom

***

No. 6
# Li2MoPb

A geometry-optimized Li2MoPb structure (GGA-PBEsol, the Alexandria database).

CIF file:
```
data_Li2MoPb
_chemical_formula_sum 'Li8 Mo4 Pb4'
_cell_length_a 6.5548
_cell_length_b 6.5548
_cell_length_c 6.5548
_cell_angle_alpha 90.00
_cell_angle_beta 90.00
_cell_angle_gamma 90.00
_space_group_name_H-M_alt 'F -4 3 m'
_space_group_IT_number 216
_space_group_name_Hall 'F -4 2 3'
loop_
_atom_site_label
_atom_site_type_symbol
_atom_site_fract_x
_atom_site_fract_y
_atom_site_fract_z
_atom_site_occupancy
Li1 Li 0.0000 0.0000 0.0000 1
Li2 Li 0.2500 0.2500 0.2500 1
Mo1 Mo 0.0000 0.0000 0.5000 1
Pb1 Pb 0.2500 0.2500 0.7500 1
```

## Properties
VASP energy = -72.28 eV/cell
ρ = 7.48 g/cm3
ΔH_f (0 K) = 0.4075 eV/atom
V = 17.60 Å³/atom
M_tot = 0.55 μB per atom

***

No. 7
# Li2MoPb

A geometry-optimized Li2MoPb structure (GGA-PBEsol, the Alexandria database).

CIF file:
```
data_Li2MoPb
_chemical_formula_sum 'Li4 Mo2 Pb2'
_cell_length_a 10.4364
_cell_length_b 2.8670
_cell_length_c 5.2549
_cell_angle_alpha 90.00
_cell_angle_beta 115.21
_cell_angle_gamma 90.00
_space_group_name_H-M_alt 'C 1 m 1'
_space_group_IT_number 8
loop_
_space_group_symop_operation_xyz
'x,y,z'
'x,-y,z'
'x+1/2,y+1/2,z'
'x+1/2,-y+1/2,z'
loop_
_atom_site_label
_atom_site_type_symbol
_atom_site_fract_x
_atom_site_fract_y
_atom_site_fract_z
_atom_site_occupancy
Li1 Li 0.0000 0.0000 0.0000 1
Li2 Li 0.2451 0.0000 0.9316 1
Mo1 Mo 0.4953 0.0000 0.4944 1
Pb1 Pb 0.2465 0.5000 0.4390 1
```

## Properties
VASP energy = -36.26 eV/cell
ρ = 7.40 g/cm3
ΔH_f (0 K) = 0.3921 eV/atom
V = 17.78 Å³/atom
M_tot = 0.00 μB per atom

***

No. 8
# Li2MoPb

A geometry-optimized Li2MoPb structure (GGA-PBEsol, the Alexandria database).

CIF file:
```
data_Li2MoPb
_chemical_formula_sum 'Li4 Mo2 Pb2'
_cell_length_a 3.8514
_cell_length_b 4.0974
_cell_length_c 9.2065
_cell_angle_alpha 90.00
_cell_angle_beta 90.00
_cell_angle_gamma 90.00
_space_group_name_H-M_alt 'C m m m'
_space_group_IT_number 65
_space_group_name_Hall '-C 2 2'
loop_
_atom_site_label
_atom_site_type_symbol
_atom_site_fract_x
_atom_site_fract_y
_atom_site_fract_z
_atom_site_occupancy
Li1 Li 0.0000 0.0000 0.2353 1
Mo1 Mo 0.0000 0.5000 0.0000 1
Pb1 Pb 0.0000 0.5000 0.5000 1
```

## Properties
VASP energy = -35.99 eV/cell
ρ = 7.25 g/cm3
ΔH_f (0 K) = 0.4263 eV/atom
V = 18.16 Å³/atom
M_tot = 0.00 μB per atom